Entry from the Alexandria database: crystalline VWO3 at its relaxed geometry (GGA+U).

Calculated values
Crystal system ... cubic
Uncorrected energy ... -34.9 eV/f.u.

a = 4.0087 Å, b = 4.0087 Å, c = 4.0087 Å
α = 90.00°, β = 90.00°, γ = 90.00°
Closest atoms and distances in Å follow each position.
Fractional positions:
V  0.0000  0.0000  0.0000  12 O 2.83
W  0.5000  0.5000  0.5000  6 O 2.00
O  0.0000  0.5000  0.5000  2 W 2.00
O  0.5000  0.0000  0.5000  2 W 2.00
O  0.5000  0.5000  0.0000  2 W 2.00